No. 1
Entry from Alexandria: crystalline NbNi2S4 at its relaxed geometry (PBE).

Calculated values
Magnetization ... 2.80 μB/f.u.
Energy relative to the lowest polymorph listed for this composition ... 439 meV per atom
Formation energy (no corrections) ... -8 meV/atom
Raw total energy ... -5.457 eV per atom

abc: 4.866 4.866 11.236
angles: 90.00 90.00 90.00
Space group I4/mmm (No. 139)
Asymmetric unit:
Nb: 0.000 0.000 0.000
Ni: 0.000 0.000 0.398
S: 0.000 0.000 0.213
S: 0.000 0.500 0.000

No. 2
Entry from Alexandria: crystalline BaPF2 at its relaxed geometry (PBE).

Calculated values
Magnetization ... 3.00 μB/f.u.
Energy relative to the lowest polymorph listed for this composition ... 299 meV per atom
Formation energy (no corrections) ... -1765 meV/atom
Raw total energy ... -4.534 eV per atom

abc: 6.811 6.811 6.811
angles: 90.00 90.00 90.00
Space group Fm-3m (No. 225)
Asymmetric unit:
Ba: 0.000 0.000 0.000
P: 0.000 0.000 0.500
F: 0.250 0.250 0.250

No. 3
Entry from Alexandria: crystalline Ac2NdRh at its relaxed geometry (PBE).

Calculated values
Magnetization ... 0.00 μB/f.u.
Formation enthalpy at 0 K ... -0.40 eV/atom
Energy relative to the lowest polymorph listed for this composition ... 0 meV per atom
Raw total energy ... -5.485 eV per atom

abc: 7.614 10.494 6.786
angles: 90.00 90.00 90.00
Space group Pnma (No. 62)
Asymmetric unit:
Ac: 0.175 0.069 0.172
Nd: 0.041 0.250 0.664
Rh: 0.127 0.750 0.946

No. 4
Entry from Alexandria: crystalline Na2LaGaTe4 at its relaxed geometry (PBE).

Calculated values
Magnetization ... 0.00 μB/f.u.
Formation energy (no corrections) ... -864 meV/atom
Raw total energy ... -3.759 eV per atom

abc: 12.584 12.916 8.537
angles: 90.00 131.92 90.00
Space group C2/c (No. 15)
Asymmetric unit:
Na: 0.000 0.000 0.000
Na: 0.250 0.250 0.000
La: 0.250 0.250 0.500
Ga: 0.000 0.500 0.000
Te: 0.001 0.248 0.999
Te: 0.207 0.498 0.977

No. 5
Entry from Alexandria: crystalline Be2S2N at its relaxed geometry (PBE).

Calculated values
Magnetization ... 1.80 μB/f.u.
Formation energy (no corrections) ... 131 meV/atom
Raw total energy ... -4.676 eV per atom

abc: 4.095 4.095 10.249
angles: 90.00 90.00 90.00
Space group I4/mmm (No. 139)
Asymmetric unit:
Be: 0.000 0.000 0.155
S: 0.000 0.500 0.250
N: 0.000 0.000 0.000

No. 6
Entry from Alexandria: crystalline LiScAu2 at its relaxed geometry (PBE).

Calculated values
Magnetization ... 0.00 μB/f.u.
Formation enthalpy at 0 K ... -0.64 eV/atom
Energy relative to the lowest polymorph listed for this composition ... 46 meV per atom
Raw total energy ... -4.343 eV per atom

abc: 6.615 6.696 3.269
angles: 90.00 90.17 90.00
Space group C2/m (No. 12)
Asymmetric unit:
Li: 0.000 0.000 0.000
Sc: 0.000 0.500 0.000
Au: 0.250 0.250 0.500

No. 7
Entry from Alexandria: crystalline AgRhO2F at its relaxed geometry (PBE).

Calculated values
Magnetization ... 3.22 μB/f.u.
Formation energy (no corrections) ... 459 meV/atom
Raw total energy ... -3.939 eV per atom

abc: 4.124 4.124 4.099
angles: 90.00 90.00 90.00
Space group P4/mmm (No. 123)
Asymmetric unit:
Ag: 0.000 0.000 0.000
Rh: 0.500 0.500 0.500
O: 0.000 0.500 0.000
F: 0.000 0.000 0.500

No. 8
Entry from Alexandria: crystalline ReWCl2 at its relaxed geometry (PBE).

Calculated values
Magnetization ... 0.00 μB/f.u.
Energy relative to the lowest polymorph listed for this composition ... 507 meV per atom
Formation energy (no corrections) ... 325 meV/atom
Raw total energy ... -6.948 eV per atom

abc: 3.155 5.437 9.744
angles: 90.00 90.00 90.00
Space group Cmm2 (No. 35)
Asymmetric unit:
Re: 0.000 0.000 0.000
W: 0.000 0.500 0.809
Cl: 0.000 0.000 0.599
Cl: 0.000 0.500 0.212

No. 9
Entry from Alexandria: crystalline FeNi2W at its relaxed geometry (PBE).

Calculated values
Magnetization ... 3.61 μB/f.u.
Formation enthalpy at 0 K ... 0.03 eV/atom
Energy relative to the lowest polymorph listed for this composition ... 50 meV per atom
Raw total energy ... -8.213 eV per atom

abc: 2.616 2.616 7.313
angles: 90.00 90.00 90.00
Space group P4/mmm (No. 123)
Asymmetric unit:
Fe: 0.000 0.000 0.000
Ni: 0.500 0.500 0.237
W: 0.000 0.000 0.500

No. 10
Entry from Alexandria: crystalline LaBe2AlAu4 at its relaxed geometry (PBE).

Calculated values
Magnetization ... 0.00 μB/f.u.
Formation enthalpy at 0 K ... -0.34 eV/atom
Raw total energy ... -3.998 eV per atom

abc: 4.2545 4.2545 27.8655
angles: 90.00 90.00 120.00
Space group R-3m (No. 166, hexagonal axes)
Asymmetric unit:
La: 0.0000 0.0000 0.0000
Be: 0.0000 0.0000 0.2369
Al: 0.0000 0.0000 0.5000
Au: 0.0000 0.0000 0.1300
Au: 0.0000 0.0000 0.4035

No. 11
Entry from Alexandria: crystalline TlCu2Br8 at its relaxed geometry (PBE).

Calculated values
Magnetization ... 1.08 μB/f.u.
Energy relative to the lowest polymorph listed for this composition ... 33 meV per atom
Formation energy (no corrections) ... -245 meV/atom
Raw total energy ... -2.421 eV per atom

abc: 9.803 11.399 8.315
angles: 90.00 109.29 90.00
Space group C2/m (No. 12)
Asymmetric unit:
Tl: 0.000 0.000 0.000
Cu: 0.184 0.500 0.604
Br: 0.036 0.500 0.308
Br: 0.137 0.000 0.561
Br: 0.184 0.162 0.193

No. 12
Entry from Alexandria: crystalline NbSbPd2 at its relaxed geometry (PBE).

Calculated values
Magnetization ... 0.29 μB/f.u.
Formation energy (no corrections) ... -252 meV/atom
Raw total energy ... -6.397 eV per atom

abc: 3.567 3.567 5.706
angles: 90.00 90.00 90.00
Space group P4/mmm (No. 123)
Asymmetric unit:
Nb: 0.000 0.000 0.000
Sb: 0.000 0.000 0.500
Pd: 0.500 0.500 0.235